No. 1
This record from Alexandria describes a relaxed TcNi2 crystal. The functional is GGA-PBE.

The structure in POSCAR format:
```
TcNi2
1.0
2.6016 0.0000 0.0000
0.0000 2.6016 0.0000
0.0000 0.0000 10.7256
Tc Ni
2 4
direct
0.0000 0.0000 0.0000
0.5000 0.5000 0.5000
0.0000 0.0000 0.3306
0.0000 0.0000 0.6694
0.5000 0.5000 0.1694
0.5000 0.5000 0.8306
```

Formation energy in meV/atom: 8.5
Fermi-level density of states in states/eV/f.u.: 3.50
Crystal system: tetragonal
Total magnetization in μB/cell: 0.0
Energy relative to the lowest polymorph listed for this composition in meV per atom: 46.2
Symmetry: I4/mmm (139)

---

No. 2
This record from Alexandria describes a relaxed Nd3Ga4Hg2 crystal. The functional is GGA-PBE.

The structure in POSCAR format:
```
Nd3Ga4Hg2
1.0
5.5872 -2.2892 0.0000
5.5872 2.2892 0.0000
-2.8618 0.0000 8.4464
Nd Ga Hg
3 4 2
direct
0.0000 0.0000 0.0000
0.3265 0.3265 0.3349
0.6735 0.6735 0.6651
0.0703 0.0703 0.4153
0.2995 0.2995 0.9764
0.7005 0.7005 0.0236
0.9297 0.9297 0.5847
0.4029 0.4029 0.7332
0.5971 0.5971 0.2668
```

Formation energy in meV/atom: -562.2
Fermi-level density of states in states/eV/f.u.: 3.38
Crystal system: monoclinic
Total magnetization in μB/cell: 0.0
Symmetry: C2/m (12)

---

No. 3
This record from Alexandria describes a relaxed LiMn2Ni crystal. The functional is GGA-PBE.

The structure in POSCAR format:
```
LiMn2Ni
1.0
2.6835 0.0000 0.0000
0.0000 4.1083 0.0000
0.0000 0.0000 8.4459
Li Mn Ni
2 4 2
direct
0.0000 0.0000 0.0000
0.5000 0.5000 0.0000
0.0000 0.0000 0.4944
0.0000 0.5000 0.7285
0.5000 0.0000 0.7285
0.5000 0.5000 0.4944
0.0000 0.5000 0.2513
0.5000 0.0000 0.2513
```

Formation energy in meV/atom: 160.2
Fermi-level density of states in states/eV/f.u.: 4.75
Crystal system: orthorhombic
Total magnetization in μB/cell: 1.9
Symmetry: Cmm2 (35)

---

Question: Among the records above, which one has the highest Fermi-level density of states?
Answer: LiMn2Ni